#1
The following is a DFT calculation (PBE) of AsC after structural relaxation.

The calculation puts the density of states at the Fermi level at 6.5 states/eV per cell.

The structure belongs to space group I-43m (No. 217); the cell edges are 6.556, 6.556 and 6.556 Å and the angles 90.00°, 90.00° and 90.00°. The asymmetric unit holds As at (0.164, 0.164, 0.836) and C at (0.156, 0.156, 0.156).


#2
The following is a DFT calculation (PBE) of AsC after structural relaxation.

The calculation puts the density of states at the Fermi level at 2.2 states/eV per cell.

The structure belongs to space group Cm (No. 8); the cell edges are 11.534, 3.126 and 5.981 Å and the angles 90.00°, 107.19° and 90.00°. The asymmetric unit holds As at (0.000, 0.000, 0.000), As at (0.080, 0.500, 0.507), As at (0.281, 0.500, 0.107), C at (0.086, 0.500, 0.181), C at (0.173, 0.000, 0.665) and C at (0.237, 0.000, 0.894).


The most stable arrangement is #2, and the next structure is 751 meV/atom less stable.


#1
The following is a DFT calculation (PBE) of AsC after structural relaxation.

The calculation puts the density of states at the Fermi level at 12.5 states/eV per cell.

The structure belongs to space group Fddd (No. 70, origin choice 2); the cell edges are 5.194, 10.150 and 10.322 Å and the angles 90.00°, 90.00° and 90.00°. The asymmetric unit holds As at (0.125, 0.125, 0.273) and C at (0.125, 0.272, 0.125).


#2
The following is a DFT calculation (PBE) of AsC after structural relaxation.

The calculation puts the density of states at the Fermi level at 0.2 states/eV per cell.

The structure belongs to space group P4/m (No. 83); the cell edges are 9.223, 9.223 and 3.118 Å and the angles 90.00°, 90.00° and 90.00°. The asymmetric unit holds As at (0.085, 0.363, 0.000), As at (0.253, 0.630, 0.500), C at (0.122, 0.589, 0.000) and C at (0.155, 0.268, 0.500).


The most stable arrangement is #2, and the next structure is 434 meV/atom less stable.


#1
The following is a DFT calculation (PBE) of AsC after structural relaxation.

The calculation puts the density of states at the Fermi level at 0.7 states/eV per cell.

The structure belongs to space group P-6m2 (No. 187); the cell edges are 3.0725, 3.0725 and 2.8740 Å and the angles 90.00°, 90.00° and 120.00°. The asymmetric unit holds As at (0.0000, 0.0000, 0.0000) and C at (0.3333, 0.6667, 0.5000).


#2
The following is a DFT calculation (PBE) of AsC after structural relaxation.

The calculation puts the density of states at the Fermi level at 0.8 states/eV per cell.

The structure belongs to space group Cm (No. 8); the cell edges are 8.172, 3.373 and 5.402 Å and the angles 90.00°, 127.51° and 90.00°. The asymmetric unit holds As at (0.000, 0.000, 0.000), As at (0.069, 0.500, 0.480), C at (0.107, 0.000, 0.746) and C at (0.334, 0.000, 0.972).


The most stable arrangement is #2, and the next structure is 701 meV/atom less stable.


#1
The following is a DFT calculation (PBE) of AsC after structural relaxation.

The calculation puts the density of states at the Fermi level at 2.4 states/eV per cell.

The structure belongs to space group P-62m (No. 189); the cell edges are 5.3286, 5.3286 and 2.9651 Å and the angles 90.00°, 90.00° and 120.00°. The asymmetric unit holds As at (0.0000, 0.0000, 0.0000), As at (0.3333, 0.6667, 0.5000) and C at (0.0000, 0.3669, 0.0000).


#2
The following is a DFT calculation (PBE) of AsC after structural relaxation.

The structure belongs to space group P-3m1 (No. 164); the cell edges are 3.1222, 3.1222 and 8.0431 Å and the angles 90.00°, 90.00° and 120.00°. The asymmetric unit holds As at (0.3333, 0.6667, 0.2878) and C at (0.0000, 0.0000, 0.4070).


#3
The following is a DFT calculation (PBE) of AsC after structural relaxation.

The calculation puts the density of states at the Fermi level at 5.8 states/eV per cell.

The structure belongs to space group R-3m (No. 166, hexagonal axes); the cell edges are 3.1432, 3.1432 and 20.2438 Å and the angles 90.00°, 90.00° and 120.00°. The asymmetric unit holds As at (0.0000, 0.0000, 0.0977) and C at (0.0000, 0.0000, 0.3951).


#4
The following is a DFT calculation (PBE) of AsC after structural relaxation.

The calculation puts the density of states at the Fermi level at 2.0 states/eV per cell.

The structure belongs to space group Pmma (No. 51); the cell edges are 4.377, 3.136 and 3.993 Å and the angles 90.00°, 90.00° and 90.00°. The asymmetric unit holds As at (0.250, 0.000, 0.157) and C at (0.250, 0.500, 0.456).


The most stable arrangement is #2, and the next structure is 633 meV/atom less stable.


#1
The following is a DFT calculation (PBE) of AsC after structural relaxation.

The calculation puts the density of states at the Fermi level at 1.4 states/eV per cell.

The structure belongs to space group P4/nmm (No. 129, origin choice 2); the cell edges are 3.591, 3.591 and 5.009 Å and the angles 90.00°, 90.00° and 90.00°. The asymmetric unit holds As at (0.250, 0.250, 0.220) and C at (0.250, 0.750, 0.000).


#2
The following is a DFT calculation (PBE) of AsC after structural relaxation.

The calculation puts the density of states at the Fermi level at 3.4 states/eV per cell.

The structure belongs to space group Pnma (No. 62); the cell edges are 9.739, 2.583 and 5.495 Å and the angles 90.00°, 90.00° and 90.00°. The asymmetric unit holds As at (0.111, 0.250, 0.137) and C at (0.015, 0.250, 0.448).


#3
The following is a DFT calculation (PBE) of AsC after structural relaxation.

The calculation puts the density of states at the Fermi level at 2.2 states/eV per cell.

The structure belongs to space group P4/nmm (No. 129, origin choice 2); the cell edges are 2.587, 2.587 and 7.843 Å and the angles 90.00°, 90.00° and 90.00°. The asymmetric unit holds As at (0.250, 0.250, 0.222) and C at (0.250, 0.250, 0.477).


The most stable arrangement is #2, and the next structure is 859 meV/atom less stable.


#1
The following is a DFT calculation (PBE) of AsC after structural relaxation.

The calculation puts the density of states at the Fermi level at 3.4 states/eV per cell.

The structure belongs to space group P2_12_12_1 (No. 19); the cell edges are 5.193, 5.253 and 8.185 Å and the angles 90.00°, 90.00° and 90.00°. The asymmetric unit holds As at (0.218, 0.048, 0.257), As at (0.243, 0.456, 0.000), C at (0.136, 0.900, 0.522) and C at (0.138, 0.421, 0.287).


#2
The following is a DFT calculation (PBE) of AsC after structural relaxation.

The structure belongs to space group C2/m (No. 12); the cell edges are 11.122, 3.920 and 4.188 Å and the angles 90.00°, 103.20° and 90.00°. The asymmetric unit holds As at (0.083, 0.000, 0.261) and C at (0.000, 0.330, 0.500).


#3
The following is a DFT calculation (PBE) of AsC after structural relaxation.

The calculation puts the density of states at the Fermi level at 1.4 states/eV per cell.

The structure belongs to space group P-62m (No. 189); the cell edges are 5.3545, 5.3545 and 3.0458 Å and the angles 90.00°, 90.00° and 120.00°. The asymmetric unit holds As at (0.0000, 0.3599, 0.0000), C at (0.0000, 0.0000, 0.0000) and C at (0.3333, 0.6667, 0.5000).


#4
The following is a DFT calculation (PBE) of AsC after structural relaxation.

The calculation puts the density of states at the Fermi level at 4.9 states/eV per cell.

The structure belongs to space group R-3m (No. 166, hexagonal axes); the cell edges are 5.4838, 5.4838 and 8.0724 Å and the angles 90.00°, 90.00° and 120.00°. The asymmetric unit holds As at (0.0000, 0.0000, 0.1958) and C at (0.0000, 0.0000, 0.4209).


The most stable arrangement is #2, and the next structure is 512 meV/atom less stable.


#1
The following is a DFT calculation (PBE) of As2C after structural relaxation.

The calculation puts the density of states at the Fermi level at 2.8 states/eV per cell.

The structure belongs to space group P-31m (No. 162); the cell edges are 6.0100, 6.0100 and 4.4173 Å and the angles 90.00°, 90.00° and 120.00°. The asymmetric unit holds As at (0.0000, 0.3479, 0.2188), C at (0.0000, 0.0000, 0.0000) and C at (0.3333, 0.6667, 0.5000).


#2
The following is a DFT calculation (PBE) of As2C after structural relaxation.

The calculation puts the density of states at the Fermi level at 3.3 states/eV per cell.

The structure belongs to space group P6_3/mmc (No. 194); the cell edges are 3.8122, 3.8122 and 7.3800 Å and the angles 90.00°, 90.00° and 120.00°. The asymmetric unit holds As at (0.0000, 0.0000, 0.0000), As at (0.3333, 0.6667, 0.2500) and C at (0.3333, 0.6667, 0.7500).


#3
The following is a DFT calculation (PBE) of As2C after structural relaxation.

The calculation puts the density of states at the Fermi level at 1.1 states/eV per cell.

The structure belongs to space group Pnma (No. 62); the cell edges are 6.296, 3.303 and 12.248 Å and the angles 90.00°, 90.00° and 90.00°. The asymmetric unit holds As at (0.012, 0.250, 0.107), As at (0.040, 0.750, 0.429) and C at (0.148, 0.250, 0.954).


The most stable arrangement is #3, and the next structure is 676 meV/atom less stable.


#1
The following is a DFT calculation (PBE) of AsC4 after structural relaxation.

The calculation puts the density of states at the Fermi level at 1.4 states/eV per cell.

The structure belongs to space group I4/mmm (No. 139); the cell edges are 5.037, 5.037 and 8.273 Å and the angles 90.00°, 90.00° and 90.00°. The asymmetric unit holds As at (0.000, 0.000, 0.000) and C at (0.000, 0.377, 0.000).


#2
The following is a DFT calculation (PBE) of AsC4 after structural relaxation.

The calculation puts the density of states at the Fermi level at 3.3 states/eV per cell.

The structure belongs to space group Pm-3m (No. 221); the cell edges are 3.868, 3.868 and 3.868 Å and the angles 90.00°, 90.00° and 90.00°. The asymmetric unit holds As at (0.000, 0.000, 0.000), C at (0.000, 0.000, 0.500) and C at (0.500, 0.500, 0.500).


#3
The following is a DFT calculation (PBE) of AsC4 after structural relaxation.

The calculation puts the density of states at the Fermi level at 1.8 states/eV per cell.

The structure belongs to space group P-3m1 (No. 164); the cell edges are 2.8782, 2.8782 and 5.7582 Å and the angles 90.00°, 90.00° and 120.00°. The asymmetric unit holds As at (0.0000, 0.0000, 0.0000), C at (0.3333, 0.6667, 0.1983) and C at (0.3333, 0.6667, 0.4480).


The most stable arrangement is #3, and the next structure is 601 meV/atom less stable.